[1]
{
  "formula": "Nd2Mg3Ag4",
  "functional": "GGA-PBE",
  "state": "optimized geometry",
  "lattice_angstrom": [[-2.943, 4.064, 3.503], [-3.904, -5.990, 3.669], [7.620, -2.525, 3.986]],
  "species": ["Nd", "Nd", "Nd", "Nd", "Mg", "Mg", "Mg", "Mg", "Mg", "Mg", "Ag", "Ag", "Ag", "Ag", "Ag", "Ag", "Ag", "Ag"],
  "fractional_positions": [[0.104, 0.594, 0.208], [0.896, 0.406, 0.792], [0.396, 0.094, 0.792], [0.604, 0.906, 0.208], [0.000, 0.000, 0.000], [0.500, 0.500, 0.000], [0.521, 0.750, 0.541], [0.979, 0.250, 0.459], [0.479, 0.250, 0.459], [0.021, 0.750, 0.541], [0.688, 0.750, 0.876], [0.812, 0.250, 0.124], [0.312, 0.250, 0.124], [0.188, 0.750, 0.876], [0.173, 0.975, 0.345], [0.827, 0.025, 0.655], [0.327, 0.475, 0.655], [0.673, 0.525, 0.345]],
  "de_polymorph_mev_per_atom": 17,
  "space_group": "No. 64",
  "formation_enthalpy_0k_ev_per_atom": -0.215
}

[2]
{
  "formula": "NdMg5Ag6",
  "functional": "GGA-PBE",
  "state": "optimized geometry",
  "lattice_angstrom": [[-3.637, -2.266, 2.246], [2.967, -6.121, -1.369], [5.443, 1.496, 5.106]],
  "species": ["Mg", "Mg", "Mg", "Mg", "Mg", "Nd", "Ag", "Ag", "Ag", "Ag", "Ag", "Ag"],
  "fractional_positions": [[0.659, 0.500, 0.322], [0.329, 0.000, 0.658], [0.000, 0.500, 0.000], [0.671, 0.000, 0.342], [0.341, 0.500, 0.678], [0.000, 0.000, 0.000], [0.827, 0.731, 0.650], [0.827, 0.269, 0.650], [0.500, 0.272, 0.000], [0.500, 0.728, 0.000], [0.173, 0.731, 0.350], [0.173, 0.269, 0.350]],
  "space_group": "No. 10",
  "formation_enthalpy_0k_ev_per_atom": -0.212
}

[3]
{
  "formula": "NdMg3Ag4",
  "functional": "GGA-PBE",
  "state": "optimized geometry",
  "lattice_angstrom": [[-4.031, 2.371, -0.996], [-3.958, -0.837, 2.549], [-0.419, 6.632, 6.011]],
  "species": ["Mg", "Mg", "Mg", "Nd", "Ag", "Ag", "Ag", "Ag"],
  "fractional_positions": [[0.244, 0.244, 0.267], [0.756, 0.756, 0.733], [0.500, 0.500, 0.500], [0.000, 0.000, 0.000], [0.872, 0.872, 0.384], [0.393, 0.393, 0.821], [0.128, 0.128, 0.616], [0.607, 0.607, 0.179]],
  "space_group": "No. 166",
  "formation_enthalpy_0k_ev_per_atom": -0.226
}

[4]
{
  "formula": "Nd3Mg2Ag3",
  "functional": "GGA-PBE",
  "state": "optimized geometry",
  "lattice_angstrom": [[5.969, 0.000, 0.000], [0.000, 7.675, -4.431], [0.000, 0.000, 8.863]],
  "species": ["Nd", "Nd", "Nd", "Nd", "Nd", "Nd", "Mg", "Mg", "Mg", "Mg", "Ag", "Ag", "Ag", "Ag", "Ag", "Ag"],
  "fractional_positions": [[0.750, 0.253, 0.000], [0.750, 0.747, 0.747], [0.750, 0.000, 0.253], [0.250, 0.747, 0.000], [0.250, 0.253, 0.253], [0.250, 0.000, 0.747], [0.000, 0.333, 0.667], [0.500, 0.667, 0.333], [0.000, 0.667, 0.333], [0.500, 0.333, 0.667], [0.750, 0.596, 0.000], [0.750, 0.404, 0.404], [0.750, 0.000, 0.596], [0.250, 0.404, 0.000], [0.250, 0.596, 0.596], [0.250, 0.000, 0.404]],
  "de_polymorph_mev_per_atom": 0,
  "space_group": "No. 193",
  "formation_enthalpy_0k_ev_per_atom": -0.247
}

[5]
{
  "formula": "Nd3Mg2Ag",
  "functional": "GGA-PBE",
  "state": "optimized geometry",
  "lattice_angstrom": [[-1.665, 3.462, 0.340], [-3.128, -1.655, 1.535], [4.501, 1.143, 10.406]],
  "species": ["Nd", "Nd", "Nd", "Mg", "Mg", "Ag"],
  "fractional_positions": [[0.000, 0.000, 0.000], [0.000, 0.000, 0.661], [0.000, 0.000, 0.339], [0.500, 0.500, 0.834], [0.500, 0.500, 0.166], [0.500, 0.500, 0.500]],
  "space_group": "No. 123",
  "formation_enthalpy_0k_ev_per_atom": -0.159
}

[6]
{
  "formula": "Nd2MgAg6",
  "functional": "GGA-PBE",
  "state": "optimized geometry",
  "lattice_angstrom": [[5.868, -0.025, -0.014], [0.031, 6.301, 0.009], [0.031, 3.147, 5.459]],
  "species": ["Nd", "Nd", "Mg", "Ag", "Ag", "Ag", "Ag", "Ag", "Ag"],
  "fractional_positions": [[0.843, 0.667, 0.667], [0.157, 0.333, 0.333], [0.000, 0.000, 0.000], [0.326, 0.363, 0.819], [0.326, 0.818, 0.818], [0.326, 0.819, 0.363], [0.674, 0.637, 0.181], [0.674, 0.182, 0.182], [0.674, 0.181, 0.637]],
  "de_polymorph_mev_per_atom": 0,
  "space_group": "No. 164",
  "formation_enthalpy_0k_ev_per_atom": -0.190
}

[7]
{
  "formula": "NdMg2Ag9",
  "functional": "GGA-PBE",
  "state": "optimized geometry",
  "lattice_angstrom": [[5.610, 0.000, 0.000], [2.805, 4.858, 0.000], [2.805, 1.619, 9.065]],
  "species": ["Nd", "Mg", "Mg", "Ag", "Ag", "Ag", "Ag", "Ag", "Ag", "Ag", "Ag", "Ag"],
  "fractional_positions": [[0.000, 0.000, 0.000], [0.855, 0.855, 0.436], [0.145, 0.145, 0.564], [0.666, 0.666, 0.001], [0.334, 0.334, 0.999], [0.500, 0.500, 0.500], [0.411, 0.411, 0.259], [0.919, 0.411, 0.259], [0.411, 0.919, 0.259], [0.589, 0.589, 0.741], [0.589, 0.081, 0.741], [0.081, 0.589, 0.741]],
  "de_polymorph_mev_per_atom": 24,
  "space_group": "No. 166",
  "formation_enthalpy_0k_ev_per_atom": -0.099
}

[8]
{
  "formula": "NdMg10Ag2",
  "functional": "GGA-PBE",
  "state": "optimized geometry",
  "lattice_angstrom": [[5.700, 0.002, 0.023], [2.853, 7.188, 0.010], [2.879, -0.001, 7.200]],
  "species": ["Nd", "Mg", "Mg", "Mg", "Mg", "Mg", "Mg", "Mg", "Mg", "Mg", "Mg", "Ag", "Ag"],
  "fractional_positions": [[0.000, 0.000, 0.000], [0.349, 0.640, 0.664], [0.651, 0.360, 0.336], [0.989, 0.360, 0.665], [0.011, 0.640, 0.335], [0.000, 0.000, 0.500], [0.500, 0.000, 0.500], [0.287, 0.221, 0.205], [0.713, 0.779, 0.795], [0.507, 0.779, 0.206], [0.493, 0.221, 0.794], [0.000, 0.500, 0.000], [0.500, 0.500, 0.000]],
  "space_group": "No. 2",
  "formation_enthalpy_0k_ev_per_atom": -0.120
}

[9]
{
  "formula": "Nd3Mg4Ag4",
  "functional": "GGA-PBE",
  "state": "optimized geometry",
  "lattice_angstrom": [[-1.080, 0.361, 4.274], [7.036, -3.366, 2.062], [0.221, 8.332, -2.936]],
  "species": ["Nd", "Nd", "Nd", "Mg", "Mg", "Mg", "Mg", "Ag", "Ag", "Ag", "Ag"],
  "fractional_positions": [[0.118, 0.118, 0.236], [0.882, 0.882, 0.764], [0.000, 0.500, 0.000], [0.325, 0.134, 0.651], [0.675, 0.483, 0.349], [0.675, 0.866, 0.349], [0.325, 0.517, 0.651], [0.223, 0.723, 0.447], [0.777, 0.277, 0.553], [0.500, 0.811, 0.000], [0.500, 0.189, 0.000]],
  "space_group": "No. 71",
  "formation_enthalpy_0k_ev_per_atom": -0.224
}

[10]
{
  "formula": "NdMg2Ag9",
  "functional": "GGA-PBE",
  "state": "optimized geometry",
  "lattice_angstrom": [[-4.593, -5.020, -2.854], [2.866, -8.355, 0.547], [-5.901, -3.278, 5.724]],
  "species": ["Nd", "Nd", "Mg", "Mg", "Mg", "Mg", "Ag", "Ag", "Ag", "Ag", "Ag", "Ag", "Ag", "Ag", "Ag", "Ag", "Ag", "Ag", "Ag", "Ag", "Ag", "Ag", "Ag", "Ag"],
  "fractional_positions": [[0.500, 0.000, 0.000], [0.250, 0.500, 0.500], [0.875, 0.250, 0.750], [0.875, 0.750, 0.250], [0.875, 0.250, 0.250], [0.375, 0.750, 0.750], [0.750, 0.500, 0.500], [0.000, 0.000, 0.000], [0.006, 0.918, 0.676], [0.599, 0.082, 0.324], [0.674, 0.176, 0.582], [0.431, 0.824, 0.418], [0.744, 0.824, 0.582], [0.151, 0.176, 0.418], [0.076, 0.918, 0.324], [0.319, 0.082, 0.676], [0.744, 0.582, 0.824], [0.151, 0.418, 0.176], [0.076, 0.324, 0.918], [0.319, 0.676, 0.082], [0.006, 0.676, 0.918], [0.599, 0.324, 0.082], [0.674, 0.582, 0.176], [0.431, 0.418, 0.824]],
  "de_polymorph_mev_per_atom": 0,
  "space_group": "No. 141",
  "formation_enthalpy_0k_ev_per_atom": -0.123
}

[11]
{
  "formula": "NdMg12Ag6",
  "functional": "GGA-PBE",
  "state": "optimized geometry",
  "lattice_angstrom": [[-3.925, 1.328, -6.676], [5.758, -4.973, -1.962], [-4.911, -4.209, 4.461]],
  "species": ["Nd", "Mg", "Mg", "Mg", "Mg", "Mg", "Mg", "Mg", "Mg", "Mg", "Mg", "Mg", "Mg", "Ag", "Ag", "Ag", "Ag", "Ag", "Ag"],
  "fractional_positions": [[0.000, 0.000, 0.000], [0.883, 0.117, 0.500], [0.845, 0.589, 0.589], [0.589, 0.589, 0.845], [0.411, 0.155, 0.411], [0.411, 0.411, 0.155], [0.155, 0.411, 0.411], [0.117, 0.500, 0.883], [0.500, 0.883, 0.117], [0.117, 0.883, 0.500], [0.883, 0.500, 0.117], [0.500, 0.117, 0.883], [0.589, 0.845, 0.589], [0.707, 0.268, 0.268], [0.268, 0.268, 0.707], [0.268, 0.707, 0.268], [0.732, 0.732, 0.293], [0.293, 0.732, 0.732], [0.732, 0.293, 0.732]],
  "space_group": "No. 166",
  "formation_enthalpy_0k_ev_per_atom": -0.100
}

[12]
{
  "formula": "NdMg3Ag3",
  "functional": "GGA-PBE",
  "state": "optimized geometry",
  "lattice_angstrom": [[-1.889, 1.748, -4.304], [2.611, -6.925, -3.959], [-7.647, 0.232, 3.451]],
  "species": ["Nd", "Nd", "Mg", "Mg", "Mg", "Mg", "Mg", "Mg", "Ag", "Ag", "Ag", "Ag", "Ag", "Ag"],
  "fractional_positions": [[0.750, 0.333, 0.667], [0.250, 0.667, 0.333], [0.750, 0.775, 0.010], [0.750, 0.235, 0.225], [0.750, 0.990, 0.765], [0.250, 0.225, 0.990], [0.250, 0.765, 0.775], [0.250, 0.010, 0.235], [0.750, 0.922, 0.387], [0.750, 0.465, 0.078], [0.750, 0.613, 0.535], [0.250, 0.078, 0.613], [0.250, 0.535, 0.922], [0.250, 0.387, 0.465]],
  "de_polymorph_mev_per_atom": 0,
  "space_group": "No. 176",
  "formation_enthalpy_0k_ev_per_atom": -0.192
}

[13]
{
  "formula": "Nd2MgAg3",
  "functional": "GGA-PBE",
  "state": "optimized geometry",
  "lattice_angstrom": [[-4.262, 1.754, 2.340], [-0.365, -3.666, -3.627], [1.202, -8.843, 8.817]],
  "species": ["Nd", "Nd", "Nd", "Nd", "Mg", "Mg", "Ag", "Ag", "Ag", "Ag", "Ag", "Ag"],
  "fractional_positions": [[0.000, 0.000, 0.500], [0.333, 0.667, 0.180], [0.667, 0.333, 0.820], [0.000, 0.000, 0.000], [0.333, 0.667, 0.663], [0.667, 0.333, 0.337], [0.333, 0.667, 0.427], [0.667, 0.333, 0.089], [0.000, 0.000, 0.746], [0.000, 0.000, 0.254], [0.333, 0.667, 0.911], [0.667, 0.333, 0.573]],
  "de_polymorph_mev_per_atom": 0,
  "space_group": "No. 164",
  "formation_enthalpy_0k_ev_per_atom": -0.256
}

[14]
{
  "formula": "Nd3Mg2Ag4",
  "functional": "GGA-PBE",
  "state": "optimized geometry",
  "lattice_angstrom": [[4.733, 0.000, 1.398], [2.132, 5.479, 1.494], [0.086, -0.238, 8.420]],
  "species": ["Nd", "Nd", "Nd", "Mg", "Mg", "Ag", "Ag", "Ag", "Ag"],
  "fractional_positions": [[0.347, 0.622, 0.685], [0.000, 0.000, 0.000], [0.653, 0.378, 0.315], [0.354, 0.978, 0.314], [0.646, 0.022, 0.686], [0.277, 0.383, 0.063], [0.723, 0.617, 0.937], [0.068, 0.261, 0.603], [0.932, 0.739, 0.397]],
  "de_polymorph_mev_per_atom": 0,
  "space_group": "No. 12",
  "formation_enthalpy_0k_ev_per_atom": -0.239
}

[15]
{
  "formula": "NdMgAg",
  "functional": "GGA-PBE",
  "state": "optimized geometry",
  "lattice_angstrom": [[-3.286, -2.000, -2.159], [-1.803, -3.932, 6.385], [-3.272, 6.850, -1.364]],
  "species": ["Mg", "Mg", "Mg", "Nd", "Nd", "Nd", "Ag", "Ag", "Ag"],
  "fractional_positions": [[0.000, 0.239, 0.000], [0.000, 0.761, 0.761], [0.000, 0.000, 0.239], [0.500, 0.584, 0.000], [0.500, 0.000, 0.584], [0.500, 0.416, 0.416], [0.000, 0.333, 0.667], [0.000, 0.667, 0.333], [0.500, 0.000, 0.000]],
  "space_group": "No. 189",
  "formation_enthalpy_0k_ev_per_atom": -0.260
}

[16]
{
  "formula": "Nd3MgAg2",
  "functional": "GGA-PBE",
  "state": "optimized geometry",
  "lattice_angstrom": [[-0.080, -1.888, 3.304], [2.573, -2.462, -1.344], [8.339, 6.559, 3.951]],
  "species": ["Nd", "Nd", "Nd", "Mg", "Ag", "Ag"],
  "fractional_positions": [[0.000, 0.000, 0.000], [0.000, 0.000, 0.673], [0.000, 0.000, 0.327], [0.500, 0.500, 0.500], [0.500, 0.500, 0.833], [0.500, 0.500, 0.167]],
  "space_group": "No. 123",
  "formation_enthalpy_0k_ev_per_atom": -0.207
}

[17]
{
  "formula": "Nd8MgAg2",
  "functional": "GGA-PBE",
  "state": "optimized geometry",
  "lattice_angstrom": [[5.303, 0.000, 0.000], [0.000, 7.518, 0.110], [-2.651, -3.088, 8.616]],
  "species": ["Nd", "Nd", "Nd", "Nd", "Nd", "Nd", "Nd", "Nd", "Mg", "Ag", "Ag"],
  "fractional_positions": [[0.408, 0.532, 0.817], [0.673, 0.969, 0.346], [0.812, 0.703, 0.624], [0.970, 0.239, 0.939], [0.188, 0.297, 0.376], [0.327, 0.031, 0.654], [0.592, 0.468, 0.183], [0.030, 0.761, 0.061], [0.500, 0.000, 0.000], [0.814, 0.305, 0.627], [0.186, 0.695, 0.373]],
  "de_polymorph_mev_per_atom": 16,
  "space_group": "No. 12",
  "formation_enthalpy_0k_ev_per_atom": -0.063
}

[18]
{
  "formula": "NdMg4Ag5",
  "functional": "GGA-PBE",
  "state": "optimized geometry",
  "lattice_angstrom": [[3.419, 0.000, 0.000], [0.000, 3.419, 0.000], [0.000, 0.000, 17.123]],
  "species": ["Nd", "Mg", "Mg", "Mg", "Mg", "Ag", "Ag", "Ag", "Ag", "Ag"],
  "fractional_positions": [[0.000, 0.000, 0.000], [0.000, 0.000, 0.218], [0.000, 0.000, 0.406], [0.000, 0.000, 0.594], [0.000, 0.000, 0.782], [0.500, 0.500, 0.128], [0.500, 0.500, 0.313], [0.500, 0.500, 0.500], [0.500, 0.500, 0.687], [0.500, 0.500, 0.872]],
  "space_group": "No. 123",
  "formation_enthalpy_0k_ev_per_atom": -0.232
}

[19]
{
  "formula": "Nd3Mg2Ag3",
  "functional": "GGA-PBE",
  "state": "optimized geometry",
  "lattice_angstrom": [[3.601, 0.000, 0.000], [0.000, 5.394, 0.000], [-1.800, -2.697, 10.590]],
  "species": ["Nd", "Nd", "Nd", "Mg", "Mg", "Ag", "Ag", "Ag"],
  "fractional_positions": [[0.626, 0.626, 0.252], [0.374, 0.374, 0.748], [0.500, 0.000, 0.000], [0.734, 0.234, 0.468], [0.266, 0.766, 0.532], [0.129, 0.129, 0.257], [0.000, 0.500, 0.000], [0.871, 0.871, 0.743]],
  "de_polymorph_mev_per_atom": 61,
  "space_group": "No. 71",
  "formation_enthalpy_0k_ev_per_atom": -0.186
}

[20]
{
  "formula": "NdMg9Ag3",
  "functional": "GGA-PBE",
  "state": "optimized geometry",
  "lattice_angstrom": [[5.208, 0.018, 2.114], [2.528, 7.117, 1.026], [-0.071, 0.009, 7.647]],
  "species": ["Nd", "Mg", "Mg", "Mg", "Mg", "Mg", "Mg", "Mg", "Mg", "Mg", "Ag", "Ag", "Ag"],
  "fractional_positions": [[0.000, 0.000, 0.000], [0.707, 0.790, 0.782], [0.293, 0.210, 0.218], [0.511, 0.210, 0.782], [0.489, 0.790, 0.218], [0.651, 0.340, 0.353], [0.349, 0.660, 0.647], [0.995, 0.660, 0.353], [0.005, 0.340, 0.647], [0.000, 0.500, 0.000], [0.500, 0.500, 0.000], [0.000, 0.000, 0.500], [0.500, 0.000, 0.500]],
  "space_group": "No. 12",
  "formation_enthalpy_0k_ev_per_atom": -0.169
}